# 1
## Al2GaW (PBE)

Data for crystalline Al2GaW at its relaxed geometry.

E   -5.80 eV/atom
DOS(E_F)   6.22 states/eV per cell
Space group   R3m (160)
Calculated volume   196 Å³ per cell

a = 2.9053 Å, b = 2.9053 Å, c = 26.7530 Å
α = 90.00°, β = 90.00°, γ = 120.00°
Fractional coordinates of all 12 atoms:
Al 0.0000 0.0000 0.0000
Al 0.0000 0.0000 0.1722
Al 0.3333 0.6667 0.6667
Al 0.3333 0.6667 0.8388
Al 0.6667 0.3333 0.3333
Al 0.6667 0.3333 0.5055
Ga 0.0000 0.0000 0.7522
Ga 0.3333 0.6667 0.4189
Ga 0.6667 0.3333 0.0855
W 0.0000 0.0000 0.5860
W 0.3333 0.6667 0.2527
W 0.6667 0.3333 0.9193

***

# 2
## NpGa4CuIr2 (PBE)

Data for crystalline NpGa4CuIr2 at its relaxed geometry.

E   -6.09 eV/atom
DOS(E_F)   11.53 states/eV per cell
Space group   R-3m (166)
Calculated volume   134 Å³ per cell

a = 8.7857 Å, b = 8.7857 Å, c = 8.7857 Å
α = 28.24°, β = 28.24°, γ = 28.24°
Fractional coordinates of all 8 atoms:
Np 0.0000 0.0000 0.0000
Ga 0.1291 0.1291 0.1291
Ga 0.3978 0.3978 0.3978
Ga 0.6022 0.6022 0.6022
Ga 0.8709 0.8709 0.8709
Cu 0.5000 0.5000 0.5000
Ir 0.2323 0.2323 0.2323
Ir 0.7677 0.7677 0.7677

***

# 3
## ErSb6 (PBE)

Data for crystalline ErSb6 at its relaxed geometry.

DOS(E_F)   18.24 states/eV per cell
E_form (uncorrected)   0.590 eV/atom
Space group   Im-3m (229)
Calculated volume   581 Å³ per cell

a = 8.3464 Å, b = 8.3464 Å, c = 8.3464 Å
α = 90.00°, β = 90.00°, γ = 90.00°
Fractional coordinates of all 14 atoms:
Er 0.0000 0.0000 0.0000
Er 0.5000 0.5000 0.5000
Sb 0.0000 0.2500 0.5000
Sb 0.0000 0.5000 0.2500
Sb 0.0000 0.5000 0.7500
Sb 0.0000 0.7500 0.5000
Sb 0.2500 0.0000 0.5000
Sb 0.2500 0.5000 0.0000
Sb 0.5000 0.0000 0.2500
Sb 0.5000 0.0000 0.7500
Sb 0.5000 0.2500 0.0000
Sb 0.5000 0.7500 0.0000
Sb 0.7500 0.0000 0.5000
Sb 0.7500 0.5000 0.0000

***

# 4
## Ho2Cd3Pb3 (PBE)

Data for crystalline Ho2Cd3Pb3 at its relaxed geometry.

E   -3.18 eV/atom
DOS(E_F)   3.22 states/eV per cell
Space group   Pmmm (47)
Calculated volume   207 Å³ per cell

a = 4.6653 Å, b = 4.8768 Å, c = 9.1056 Å
α = 90.00°, β = 90.00°, γ = 90.00°
Fractional coordinates of all 8 atoms:
Ho 0.0000 0.0000 0.2505
Ho 0.0000 0.0000 0.7495
Cd 0.0000 0.5000 0.0000
Cd 0.5000 0.5000 0.2368
Cd 0.5000 0.5000 0.7632
Pb 0.0000 0.5000 0.5000
Pb 0.5000 0.0000 0.0000
Pb 0.5000 0.0000 0.5000

***

| no. | total moment (μB per atom) |
| --- | --- |
| 1 | 0.00 |
| 2 | 0.50 |
| 3 | 0.00 |
| 4 | 0.00 |